Entry 1:
An optimized crystal structure of SiSn2S, computed with PBE-GGA.

Values from the calculation:
Symmetry: I-42d (122)
Distance to the lowest polymorph of the same formula (eV/atom): 0.000
Fermi-level density of states (states/eV per cell): 12.465
Energy relative to the elements, uncorrected (kJ per mole of atoms): 19.3
Size of the total moment (Bohr magnetons per cell): 0.00

Structure (POSCAR):
```
SiSn2S
1.0
5.919 0.000 0.000
0.000 5.919 0.000
0.000 0.000 13.711
Si Sn S
4 8 4
direct
0.000 0.000 0.000
0.000 0.500 0.250
0.500 0.000 0.750
0.500 0.500 0.500
0.246 0.250 0.125
0.250 0.746 0.375
0.250 0.754 0.875
0.254 0.250 0.625
0.746 0.750 0.625
0.750 0.246 0.875
0.750 0.254 0.375
0.754 0.750 0.125
0.000 0.000 0.500
0.000 0.500 0.750
0.500 0.000 0.250
0.500 0.500 0.000
```


Entry 2:
An optimized crystal structure of SmHo4Au2, computed with PBE-GGA.

Values from the calculation:
Symmetry: R-3m (166)
Fermi-level density of states (states/eV per cell): 9.477
Energy of formation from the pure elements (meV/atom): -264
Size of the total moment (Bohr magnetons per cell): 0.02

Structure (POSCAR):
```
SmHo4Au2
1.0
2.439 1.408 10.285
-2.439 1.408 10.285
0.000 -2.816 10.285
Sm Ho Au
1 4 2
direct
0.000 0.000 0.000
0.201 0.201 0.201
0.399 0.399 0.399
0.601 0.601 0.601
0.799 0.799 0.799
0.102 0.102 0.102
0.898 0.898 0.898
```


Entry 3:
An optimized crystal structure of PmNi4P3, computed with PBE-GGA.

Values from the calculation:
Symmetry: P4/mmm (123)
Fermi-level density of states (states/eV per cell): 3.641
Energy of formation from the pure elements (meV/atom): -792
Size of the total moment (Bohr magnetons per cell): 0.00

Structure (POSCAR):
```
PmNi4P3
1.0
3.868 0.000 0.000
0.000 3.868 0.000
0.000 0.000 7.324
Pm Ni P
1 4 3
direct
0.000 0.000 0.000
0.000 0.500 0.326
0.000 0.500 0.674
0.500 0.000 0.326
0.500 0.000 0.674
0.000 0.000 0.500
0.500 0.500 0.162
0.500 0.500 0.838
```


Entry 4:
An optimized crystal structure of Pm4DyTm6, computed with PBE-GGA.

Values from the calculation:
Symmetry: I-42m (121)
Distance to the lowest polymorph of the same formula (eV/atom): 0.169
Fermi-level density of states (states/eV per cell): 13.852
Energy of formation from the pure elements (meV/atom): 469
Size of the total moment (Bohr magnetons per cell): 0.00

Structure (POSCAR):
```
Pm4DyTm6
1.0
-3.830 3.830 6.495
3.830 -3.830 6.495
3.830 3.830 -6.495
Pm Dy Tm
4 1 6
direct
0.249 0.249 0.650
0.401 0.751 0.000
0.599 0.599 0.350
0.751 0.401 0.000
0.000 0.000 0.000
0.000 0.500 0.500
0.064 0.573 0.000
0.427 0.427 0.491
0.500 0.000 0.500
0.573 0.064 0.000
0.936 0.936 0.509
```


Entry 5:
An optimized crystal structure of Mg14AlGa, computed with PBE-GGA.

Values from the calculation:
Symmetry: P-6m2 (187)
Fermi-level density of states (states/eV per cell): 6.470
Energy of formation from the pure elements (meV/atom): -8
Size of the total moment (Bohr magnetons per cell): 0.00

Structure (POSCAR):
```
Mg14AlGa
1.0
6.347 0.000 0.000
-3.173 5.496 0.000
0.000 0.000 10.011
Mg Al Ga
14 1 1
direct
0.000 0.000 0.250
0.000 0.000 0.750
0.006 0.503 0.250
0.006 0.503 0.750
0.332 0.166 0.000
0.332 0.166 0.500
0.497 0.503 0.250
0.497 0.503 0.750
0.497 0.994 0.250
0.497 0.994 0.750
0.834 0.166 0.000
0.834 0.166 0.500
0.834 0.668 0.000
0.834 0.668 0.500
0.333 0.667 0.000
0.333 0.667 0.500
```


Entry 6:
An optimized crystal structure of SmPaSe4, computed with PBE-GGA.

Values from the calculation:
Symmetry: Cmmm (65)
Distance to the lowest polymorph of the same formula (eV/atom): 0.085
Energy relative to the elements, uncorrected (kJ per mole of atoms): -141.0
Size of the total moment (Bohr magnetons per cell): 0.20

Structure (POSCAR):
```
SmPaSe4
1.0
9.368 0.000 0.000
0.000 9.535 0.000
0.000 0.000 4.318
Sm Pa Se
2 2 8
direct
0.000 0.000 0.000
0.500 0.500 0.000
0.000 0.500 0.500
0.500 0.000 0.500
0.000 0.312 0.000
0.000 0.688 0.000
0.206 0.000 0.500
0.294 0.500 0.500
0.500 0.188 0.000
0.500 0.812 0.000
0.706 0.500 0.500
0.794 0.000 0.500
```


Entry 7:
An optimized crystal structure of BaIrI2O, computed with PBE-GGA.

Values from the calculation:
Symmetry: P4/mmm (123)
Distance to the lowest polymorph of the same formula (eV/atom): 0.000
Fermi-level density of states (states/eV per cell): 1.224
Energy relative to the elements, uncorrected (kJ per mole of atoms): -71.5
Size of the total moment (Bohr magnetons per cell): 0.00

Structure (POSCAR):
```
BaIrI2O
1.0
5.957 0.000 0.000
0.000 5.957 0.000
0.000 0.000 3.865
Ba Ir I O
1 1 2 1
direct
0.000 0.000 0.000
0.500 0.500 0.500
0.000 0.500 0.500
0.500 0.000 0.500
0.500 0.500 0.000
```


Entry 8:
An optimized crystal structure of SrZrCd2, computed with PBE-GGA.

Values from the calculation:
Symmetry: Pmm2 (25)
Fermi-level density of states (states/eV per cell): 3.587
Energy of formation from the pure elements (meV/atom): 124
Size of the total moment (Bohr magnetons per cell): 0.00

Structure (POSCAR):
```
SrZrCd2
1.0
3.439 0.000 0.000
0.000 4.664 0.000
0.000 0.000 6.829
Sr Zr Cd
1 1 2
direct
0.000 0.000 0.000
0.500 0.500 0.324
0.000 0.000 0.493
0.500 0.500 0.755
```


Entry 9:
An optimized crystal structure of LiCa2La, computed with PBE-GGA.

Values from the calculation:
Symmetry: R3m (160)
Distance to the lowest polymorph of the same formula (eV/atom): 0.018
Fermi-level density of states (states/eV per cell): 14.947
Energy of formation from the pure elements (meV/atom): 91
Size of the total moment (Bohr magnetons per cell): 0.02

Structure (POSCAR):
```
LiCa2La
1.0
3.777 0.000 0.000
-1.888 3.271 0.000
0.000 0.000 35.233
Li Ca La
3 6 3
direct
0.000 0.000 0.000
0.333 0.667 0.667
0.667 0.333 0.333
0.000 0.000 0.411
0.000 0.000 0.589
0.333 0.667 0.078
0.333 0.667 0.256
0.667 0.333 0.745
0.667 0.333 0.923
0.000 0.000 0.834
0.333 0.667 0.501
0.667 0.333 0.167
```


Entry 10:
An optimized crystal structure of Ta2AgPb, computed with PBE-GGA.

Values from the calculation:
Symmetry: R-3m (166)
Fermi-level density of states (states/eV per cell): 11.193
Energy of formation from the pure elements (meV/atom): 598
Size of the total moment (Bohr magnetons per cell): 0.00

Structure (POSCAR):
```
Ta2AgPb
1.0
3.024 0.000 0.000
-1.512 2.619 0.000
0.000 0.000 30.121
Ta Ag Pb
6 3 3
direct
0.000 0.000 0.247
0.000 0.000 0.753
0.333 0.667 0.420
0.333 0.667 0.914
0.667 0.333 0.086
0.667 0.333 0.580
0.000 0.000 0.500
0.333 0.667 0.167
0.667 0.333 0.833
0.000 0.000 0.000
0.333 0.667 0.667
0.667 0.333 0.333
```


Entry 11:
An optimized crystal structure of Tl2SnSb, computed with PBE-GGA.

Values from the calculation:
Symmetry: R3m (160)
Distance to the lowest polymorph of the same formula (eV/atom): 0.033
Fermi-level density of states (states/eV per cell): 10.899
Energy relative to the elements, uncorrected (kJ per mole of atoms): 7.4
Size of the total moment (Bohr magnetons per cell): 0.00

Structure (POSCAR):
```
Tl2SnSb
1.0
5.540 0.000 0.000
-2.770 4.798 0.000
0.000 0.000 13.569
Tl Sn Sb
6 3 3
direct
0.000 0.000 0.000
0.000 0.000 0.250
0.333 0.667 0.667
0.333 0.667 0.917
0.667 0.333 0.333
0.667 0.333 0.583
0.000 0.000 0.499
0.333 0.667 0.166
0.667 0.333 0.833
0.000 0.000 0.750
0.333 0.667 0.417
0.667 0.333 0.083
```


Entry 12:
An optimized crystal structure of Na2LaW, computed with PBE-GGA.

Values from the calculation:
Symmetry: Fm-3m (225)
Distance to the lowest polymorph of the same formula (eV/atom): 0.254
Fermi-level density of states (states/eV per cell): 16.276
Energy of formation from the pure elements (meV/atom): 1309
Size of the total moment (Bohr magnetons per cell): 0.00

Structure (POSCAR):
```
Na2LaW
1.0
7.346 0.000 0.000
0.000 7.346 0.000
0.000 0.000 7.346
Na La W
8 4 4
direct
0.250 0.250 0.250
0.250 0.250 0.750
0.250 0.750 0.250
0.250 0.750 0.750
0.750 0.250 0.250
0.750 0.250 0.750
0.750 0.750 0.250
0.750 0.750 0.750
0.000 0.000 0.000
0.000 0.500 0.500
0.500 0.000 0.500
0.500 0.500 0.000
0.000 0.000 0.500
0.000 0.500 0.000
0.500 0.000 0.000
0.500 0.500 0.500
```


> What is the formula in the ninth record?

LiCa2La


> What is the size of the total moment in the second record?

0.02 Bohr magnetons per cell